Ca2CdMoP: relaxed, PBE-GGA.

## Properties
**Space group**: No. 123
**Energy of formation**: 0.460 eV per atom
**V**: 147.9 Å³/cell
**DFT total energy**: -3.77 eV per atom
**Density of states at the Fermi level**: 4.42 states/eV/f.u.

extended XYZ file:
```
5
Lattice="5.413 0.000 0.000 0.000 5.413 0.000 0.000 0.000 5.049" Properties=species:S:1:pos:R:3 pbc="T T T"
Ca 0.000 2.706 0.000
Ca 2.706 0.000 0.000
Cd 0.000 0.000 2.525
Mo 2.706 2.706 2.525
P 0.000 0.000 0.000
```